Compound: Li2Cd5AgPd2
Source: the Alexandria database
Functional: PBE
Structure: optimized geometry

a = 9.9081 Å, b = 9.9081 Å, c = 4.1189 Å
α = 90.00°, β = 90.00°, γ = 90.00°
Closest atoms and distances in Å follow each position.
Fractional coordinates of all 20 atoms:
Li: 0.1664 0.3336 0.0000  3 Pd 2.90-2.93, 6 Cd 3.11-3.22
Li: 0.3336 0.8336 0.0000  3 Pd 2.90-2.93, 6 Cd 3.11-3.22
Li: 0.6664 0.1664 0.0000  3 Pd 2.90-2.93, 6 Cd 3.11-3.22
Li: 0.8336 0.6664 0.0000  3 Pd 2.90-2.93, 6 Cd 3.11-3.22
Cd: 0.0000 0.5000 0.5000  4 Pd 2.72
Cd: 0.0848 0.8062 0.5000  2 Pd 2.75, 2 Ag 2.94, 2 Cd 2.96
Cd: 0.1938 0.0848 0.5000  2 Pd 2.75, 2 Ag 2.94, 2 Cd 2.96
Cd: 0.3062 0.5848 0.5000  2 Pd 2.75, 2 Ag 2.94, 2 Cd 2.96
Cd: 0.4152 0.3062 0.5000  2 Pd 2.75, 2 Ag 2.94, 2 Cd 2.96
Cd: 0.5000 0.0000 0.5000  4 Pd 2.72
Cd: 0.5848 0.6938 0.5000  2 Pd 2.75, 2 Ag 2.94, 2 Cd 2.96
Cd: 0.6938 0.4152 0.5000  2 Pd 2.75, 2 Ag 2.94, 2 Cd 2.96
Cd: 0.8062 0.9152 0.5000  2 Pd 2.75, 2 Ag 2.94, 2 Cd 2.96
Cd: 0.9152 0.1938 0.5000  2 Pd 2.75, 2 Ag 2.94, 2 Cd 2.96
Ag: 0.0000 0.0000 0.0000  8 Cd 2.94
Ag: 0.5000 0.5000 0.0000  8 Cd 2.94
Pd: 0.1266 0.6266 0.0000  6 Cd 2.72-2.75, 3 Li 2.90-2.93
Pd: 0.3734 0.1266 0.0000  6 Cd 2.72-2.75, 3 Li 2.90-2.93
Pd: 0.6266 0.8734 0.0000  6 Cd 2.72-2.75, 3 Li 2.90-2.93
Pd: 0.8734 0.3734 0.0000  6 Cd 2.72-2.75, 3 Li 2.90-2.93

Summary:
SG = P4/mbm (127)


Compound: LiCdAgPd
Source: the Alexandria database
Functional: PBE
Structure: optimized geometry

a = 4.9307 Å, b = 4.9307 Å, c = 4.1410 Å
α = 114.70°, β = 114.70°, γ = 48.50°
Closest atoms and distances in Å follow each position.
Fractional coordinates of all 4 atoms:
Li: 0.0000 0.0000 0.0000  4 Pd 2.83-2.90, 4 Ag 2.84-2.89, 4 Cd 2.90
Cd: 0.4988 0.4988 0.4989  4 Pd 2.85-2.87, 4 Ag 2.86-2.87, 4 Li 2.90
Ag: 0.2508 0.2508 0.7515  4 Li 2.84-2.89, 4 Cd 2.86-2.87, 4 Pd 2.89-2.90
Pd: 0.7474 0.7474 0.2474  4 Li 2.83-2.90, 4 Cd 2.85-2.87, 4 Ag 2.89-2.90

Summary:
SG = Cm (8)


Compound: Li2Cd2Ag2Pd
Source: the Alexandria database
Functional: PBE
Structure: optimized geometry

a = 4.9044 Å, b = 4.9044 Å, c = 6.7388 Å
α = 100.50°, β = 100.50°, γ = 49.84°
Closest atoms and distances in Å follow each position.
Fractional coordinates of all 7 atoms:
Li: 0.0695 0.0695 0.2190  5 Ag 2.81-3.01, 4 Cd 2.84-2.91, 2 Pd 2.95, 1 Li 2.96
Li: 0.9305 0.9305 0.7810  5 Ag 2.81-3.01, 4 Cd 2.84-2.91, 2 Pd 2.95, 1 Li 2.96
Cd: 0.2137 0.2137 0.6469  4 Li 2.84-2.91, 3 Pd 2.85-2.91, 3 Ag 2.92-2.96, 2 Cd 3.02
Cd: 0.7863 0.7863 0.3531  4 Li 2.84-2.91, 3 Pd 2.85-2.91, 3 Ag 2.92-2.96, 2 Cd 3.02
Ag: 0.3622 0.3622 0.0746  5 Li 2.81-3.01, 3 Ag 2.83-2.91, 1 Pd 2.88, 3 Cd 2.92-2.96
Ag: 0.6378 0.6378 0.9254  5 Li 2.81-3.01, 3 Ag 2.83-2.91, 1 Pd 2.88, 3 Cd 2.92-2.96
Pd: 0.5000 0.5000 0.5000  6 Cd 2.85-2.91, 2 Ag 2.88, 4 Li 2.95

Summary:
SG = C2/m (12)


Compound: LiCdAg2Pd
Source: the Alexandria database
Functional: PBE
Structure: optimized geometry

a = 7.0131 Å, b = 7.0131 Å, c = 7.0131 Å
α = 148.80°, β = 148.80°, γ = 44.70°
Closest atoms and distances in Å follow each position.
Fractional coordinates of all 5 atoms:
Li: 0.0000 0.0000 0.0000  1 Cd 2.46, 4 Ag 2.59
Cd: 0.1897 0.1897 0.0000  1 Li 2.46
Ag: 0.3632 0.8632 0.5000  2 Li 2.59, 4 Ag 2.67
Ag: 0.8632 0.3632 0.5000  2 Li 2.59, 4 Ag 2.67
Pd: 0.5564 0.5564 0.0000  4 Li 2.77

Summary:
SG = I4mm (107)


| no. | DFT formation energy (eV/atom) |
| --- | --- |
| 1 | -0.23 |
| 2 | -0.32 |
| 3 | -0.28 |
| 4 | 0.02 |